Crystalline RbSnHg2 at its relaxed geometry, computed with PBE-GGA.

Density of states at the Fermi level (states/eV per cell): 2.2
Calculated total energy (eV per atom): -1.53

Geometry as POSCAR:
```
RbSnHg2
1.0
-2.833 3.355 2.322
-4.361 1.351 -1.959
-5.526 -3.481 3.601
Rb Sn Hg
1 1 2
direct
0.495 0.495 0.516
0.681 0.681 0.958
0.047 0.047 0.860
0.278 0.278 0.165
```